# PBE AcPrSiIr, relaxed
data_AcPrSiIr
_chemical_formula_sum 'Ac2 Pr2 Si2 Ir2'
_space_group_name_H-M_alt 'A m m 2'
_space_group_IT_number 38
_cell_length_a 4.1773
_cell_length_b 4.4529
_cell_length_c 11.2169
_cell_angle_alpha 90.00
_cell_angle_beta 90.00
_cell_angle_gamma 90.00
loop_
_space_group_symop_operation_xyz
'x,y,z'
'-x,-y,z'
'-x,y,z'
'x,-y,z'
'x,y+1/2,z+1/2'
'-x,-y+1/2,z+1/2'
'-x,y+1/2,z+1/2'
'x,-y+1/2,z+1/2'
loop_
_atom_site_label
_atom_site_type_symbol
_atom_site_fract_x
_atom_site_fract_y
_atom_site_fract_z
_atom_site_occupancy
Ac1 Ac 0.0000 0.0000 0.0000 1
Pr1 Pr 0.5000 0.0000 0.7184 1
Si1 Si 0.0000 0.0000 0.2939 1
Ir1 Ir 0.5000 0.0000 0.4207 1
# Relative energy among the computed polymorphs   0 meV per atom
# Total magnetization   0.00 μB/f.u.
# DOS at the Fermi energy   6.52 states/eV per cell
# E_form (uncorrected)   -266 kJ/mol of formula units
# Energy   -51.86 eV for the cell shown

***

# PBE SnPRuS2, relaxed
data_SnPRuS2
_chemical_formula_sum 'Sn1 P1 Ru1 S2'
_space_group_name_H-M_alt 'P 4/m m m'
_space_group_IT_number 123
_space_group_name_Hall '-P 4 2'
_cell_length_a 4.9275
_cell_length_b 4.9275
_cell_length_c 5.0036
_cell_angle_alpha 90.00
_cell_angle_beta 90.00
_cell_angle_gamma 90.00
loop_
_atom_site_label
_atom_site_type_symbol
_atom_site_fract_x
_atom_site_fract_y
_atom_site_fract_z
_atom_site_occupancy
Sn1 Sn 0.0000 0.0000 0.0000 1
P1 P 0.0000 0.0000 0.5000 1
Ru1 Ru 0.5000 0.5000 0.5000 1
S1 S 0.0000 0.5000 0.0000 1
# Relative energy among the computed polymorphs   1067 meV per atom
# Total magnetization   3.43 μB/f.u.
# DOS at the Fermi energy   5.61 states/eV per cell
# E_form (uncorrected)   642 kJ/mol of formula units
# Energy   -20.29 eV for the cell shown

***

# PBE AlCoRe, relaxed
data_AlCoRe
_chemical_formula_sum 'Al16 Co16 Re16'
_space_group_name_H-M_alt 'F d d d'
_space_group_IT_number 70
_cell_length_a 4.5577
_cell_length_b 8.0813
_cell_length_c 17.3864
_cell_angle_alpha 90.00
_cell_angle_beta 90.00
_cell_angle_gamma 90.00
loop_
_space_group_symop_operation_xyz
'x,y,z'
'-x,-y,-z'
'-x+1/4,-y+1/4,z'
'x+1/4,y+1/4,-z'
'x,-y+1/4,-z+1/4'
'-x,y+1/4,z+1/4'
'-x+1/4,y,-z+1/4'
'x+1/4,-y,z+1/4'
'x,y+1/2,z+1/2'
'-x,-y+1/2,-z+1/2'
'-x+1/4,-y+3/4,z+1/2'
'x+1/4,y+3/4,-z+1/2'
'x,-y+3/4,-z+3/4'
'-x,y+3/4,z+3/4'
'-x+1/4,y+1/2,-z+3/4'
'x+1/4,-y+1/2,z+3/4'
'x+1/2,y,z+1/2'
'-x+1/2,-y,-z+1/2'
'-x+3/4,-y+1/4,z+1/2'
'x+3/4,y+1/4,-z+1/2'
'x+1/2,-y+1/4,-z+3/4'
'-x+1/2,y+1/4,z+3/4'
'-x+3/4,y,-z+3/4'
'x+3/4,-y,z+3/4'
'x+1/2,y+1/2,z'
'-x+1/2,-y+1/2,-z'
'-x+3/4,-y+3/4,z'
'x+3/4,y+3/4,-z'
'x+1/2,-y+3/4,-z+1/4'
'-x+1/2,y+3/4,z+1/4'
'-x+3/4,y+1/2,-z+1/4'
'x+3/4,-y+1/2,z+1/4'
loop_
_atom_site_label
_atom_site_type_symbol
_atom_site_fract_x
_atom_site_fract_y
_atom_site_fract_z
_atom_site_occupancy
Al1 Al 0.1250 0.1250 0.0469 1
Co1 Co 0.1250 0.1250 0.5032 1
Re1 Re 0.1250 0.2975 0.6250 1
# Relative energy among the computed polymorphs   11 meV per atom
# Total magnetization   0.00 μB/f.u.
# DOS at the Fermi energy   39.48 states/eV per cell
# Energy   -382.21 eV for the cell shown
# DFT formation energy   -0.20 eV per atom

***

# PBE CeHoSn, relaxed
data_CeHoSn
_chemical_formula_sum 'Ce1 Ho1 Sn1'
_space_group_name_H-M_alt 'P 3 m 1'
_space_group_IT_number 156
_cell_length_a 5.2241
_cell_length_b 5.2241
_cell_length_c 3.6670
_cell_angle_alpha 90.00
_cell_angle_beta 90.00
_cell_angle_gamma 120.00
loop_
_space_group_symop_operation_xyz
'x,y,z'
'-y,x-y,z'
'-x+y,-x,z'
'-y,-x,z'
'-x+y,y,z'
'x,x-y,z'
loop_
_atom_site_label
_atom_site_type_symbol
_atom_site_fract_x
_atom_site_fract_y
_atom_site_fract_z
_atom_site_occupancy
Ce1 Ce 0.0000 0.0000 0.0000 1
Ho1 Ho 0.3333 0.6667 0.5635 1
Sn1 Sn 0.6667 0.3333 0.3529 1
# Relative energy among the computed polymorphs   290 meV per atom
# Total magnetization   1.36 μB/f.u.
# DOS at the Fermi energy   7.57 states/eV per cell
# Energy   -15.38 eV for the cell shown
# DFT formation energy   -0.29 eV per atom

***

# PBE TiSiW, relaxed
data_TiSiW
_chemical_formula_sum 'Ti2 Si2 W2'
_space_group_name_H-M_alt 'I 4 m m'
_space_group_IT_number 107
_space_group_name_Hall 'I 4 -2'
_cell_length_a 3.2813
_cell_length_b 3.2813
_cell_length_c 8.3781
_cell_angle_alpha 90.00
_cell_angle_beta 90.00
_cell_angle_gamma 90.00
loop_
_atom_site_label
_atom_site_type_symbol
_atom_site_fract_x
_atom_site_fract_y
_atom_site_fract_z
_atom_site_occupancy
Ti1 Ti 0.0000 0.0000 0.0000 1
Si1 Si 0.0000 0.0000 0.6728 1
W1 W 0.0000 0.0000 0.3296 1
# Total magnetization   0.00 μB/f.u.
# DOS at the Fermi energy   2.91 states/eV per cell
# E_form (uncorrected)   -97 kJ/mol of formula units
# Energy   -54.55 eV for the cell shown

***

# PBE LiLa2Ag2O6, relaxed
data_LiLa2Ag2O6
_chemical_formula_sum 'Li3 La6 Ag6 O18'
_space_group_name_H-M_alt 'R -3 m'
_space_group_IT_number 166
_space_group_name_Hall '-R 3 2"'
_cell_length_a 6.0830
_cell_length_b 6.0830
_cell_length_c 16.2621
_cell_angle_alpha 90.00
_cell_angle_beta 90.00
_cell_angle_gamma 120.00
loop_
_atom_site_label
_atom_site_type_symbol
_atom_site_fract_x
_atom_site_fract_y
_atom_site_fract_z
_atom_site_occupancy
Li1 Li 0.0000 0.0000 0.0000 1
La1 La 0.0000 0.0000 0.2024 1
Ag1 Ag 0.0000 0.0000 0.4122 1
O1 O 0.0524 0.5262 0.7614 1
# Total magnetization   1.94 μB/f.u.
# DOS at the Fermi energy   22.78 states/eV per cell
# E_form (uncorrected)   -1465 kJ/mol of formula units
# Energy   -187.22 eV for the cell shown

***

# PBE ThPaRh, relaxed
data_ThPaRh
_chemical_formula_sum 'Th2 Pa2 Rh2'
_space_group_name_H-M_alt 'I 4 m m'
_space_group_IT_number 107
_space_group_name_Hall 'I 4 -2'
_cell_length_a 3.6123
_cell_length_b 3.6123
_cell_length_c 11.3693
_cell_angle_alpha 90.00
_cell_angle_beta 90.00
_cell_angle_gamma 90.00
loop_
_atom_site_label
_atom_site_type_symbol
_atom_site_fract_x
_atom_site_fract_y
_atom_site_fract_z
_atom_site_occupancy
Th1 Th 0.0000 0.0000 0.0000 1
Pa1 Pa 0.0000 0.0000 0.2928 1
Rh1 Rh 0.0000 0.0000 0.6950 1
# Relative energy among the computed polymorphs   0 meV per atom
# Total magnetization   0.00 μB/f.u.
# DOS at the Fermi energy   7.61 states/eV per cell
# Energy   -51.00 eV for the cell shown
# DFT formation energy   -0.41 eV per atom

***

# PBE MnCdP2, relaxed
data_MnCdP2
_chemical_formula_sum 'Mn2 Cd2 P4'
_space_group_name_H-M_alt 'C 1 2/m 1'
_space_group_IT_number 12
_cell_length_a 7.3262
_cell_length_b 3.2967
_cell_length_c 5.6541
_cell_angle_alpha 90.00
_cell_angle_beta 102.89
_cell_angle_gamma 90.00
loop_
_space_group_symop_operation_xyz
'x,y,z'
'-x,-y,-z'
'-x,y,-z'
'x,-y,z'
'x+1/2,y+1/2,z'
'-x+1/2,-y+1/2,-z'
'-x+1/2,y+1/2,-z'
'x+1/2,-y+1/2,z'
loop_
_atom_site_label
_atom_site_type_symbol
_atom_site_fract_x
_atom_site_fract_y
_atom_site_fract_z
_atom_site_occupancy
Mn1 Mn 0.0000 0.0000 0.0000 1
Cd1 Cd 0.0000 0.5000 0.5000 1
P1 P 0.2245 0.5000 0.1599 1
# Total magnetization   2.15 μB/f.u.
# DOS at the Fermi energy   3.18 states/eV per cell
# Energy   -41.66 eV for the cell shown
# DFT formation energy   0.02 eV per atom

***

# PBE K4ZnIr, relaxed
data_K4ZnIr
_chemical_formula_sum 'K16 Zn4 Ir4'
_space_group_name_H-M_alt 'F -4 3 m'
_space_group_IT_number 216
_space_group_name_Hall 'F -4 2 3'
_cell_length_a 9.3400
_cell_length_b 9.3400
_cell_length_c 9.3400
_cell_angle_alpha 90.00
_cell_angle_beta 90.00
_cell_angle_gamma 90.00
loop_
_atom_site_label
_atom_site_type_symbol
_atom_site_fract_x
_atom_site_fract_y
_atom_site_fract_z
_atom_site_occupancy
K1 K 0.1237 0.1237 0.3763 1
Zn1 Zn 0.0000 0.0000 0.0000 1
Ir1 Ir 0.2500 0.2500 0.7500 1
# Total magnetization   0.34 μB/f.u.
# DOS at the Fermi energy   17.96 states/eV per cell
# Energy   -35.57 eV for the cell shown
# DFT formation energy   0.94 eV per atom

***

# PBE Li2AlSn, relaxed
data_Li2AlSn
_chemical_formula_sum 'Li4 Al2 Sn2'
_space_group_name_H-M_alt 'P 1 21/m 1'
_space_group_IT_number 11
_cell_length_a 6.4440
_cell_length_b 3.3321
_cell_length_c 7.5549
_cell_angle_alpha 90.00
_cell_angle_beta 110.33
_cell_angle_gamma 90.00
loop_
_space_group_symop_operation_xyz
'x,y,z'
'-x,-y,-z'
'-x,y+1/2,-z'
'x,-y+1/2,z'
loop_
_atom_site_label
_atom_site_type_symbol
_atom_site_fract_x
_atom_site_fract_y
_atom_site_fract_z
_atom_site_occupancy
Li1 Li 0.0346 0.2500 0.3633 1
Li2 Li 0.3212 0.2500 0.8708 1
Al1 Al 0.3900 0.7500 0.5877 1
Sn1 Sn 0.2231 0.7500 0.1510 1
# Total magnetization   0.00 μB/f.u.
# DOS at the Fermi energy   1.87 states/eV per cell
# Energy   -24.46 eV for the cell shown
# DFT formation energy   -0.16 eV per atom

***

# PBE GdCdAs2, relaxed
data_GdCdAs2
_chemical_formula_sum 'Gd3 Cd3 As6'
_space_group_name_H-M_alt 'R -3 m'
_space_group_IT_number 166
_space_group_name_Hall '-R 3 2"'
_cell_length_a 4.2909
_cell_length_b 4.2909
_cell_length_c 24.3772
_cell_angle_alpha 90.00
_cell_angle_beta 90.00
_cell_angle_gamma 120.00
loop_
_atom_site_label
_atom_site_type_symbol
_atom_site_fract_x
_atom_site_fract_y
_atom_site_fract_z
_atom_site_occupancy
Gd1 Gd 0.0000 0.0000 0.0000 1
Cd1 Cd 0.0000 0.0000 0.5000 1
As1 As 0.0000 0.0000 0.3970 1
# Relative energy among the computed polymorphs   239 meV per atom
# Total magnetization   6.73 μB/f.u.
# DOS at the Fermi energy   8.21 states/eV per cell
# Energy   -77.53 eV for the cell shown
# DFT formation energy   -0.39 eV per atom

***

# PBE Tl2Sn3F8, relaxed
data_Tl2Sn3F8
_chemical_formula_sum 'Tl4 Sn6 F16'
_space_group_name_H-M_alt 'C 1 2/m 1'
_space_group_IT_number 12
_cell_length_a 13.2305
_cell_length_b 7.5040
_cell_length_c 6.5032
_cell_angle_alpha 90.00
_cell_angle_beta 112.34
_cell_angle_gamma 90.00
loop_
_space_group_symop_operation_xyz
'x,y,z'
'-x,-y,-z'
'-x,y,-z'
'x,-y,z'
'x+1/2,y+1/2,z'
'-x+1/2,-y+1/2,-z'
'-x+1/2,y+1/2,-z'
'x+1/2,-y+1/2,z'
loop_
_atom_site_label
_atom_site_type_symbol
_atom_site_fract_x
_atom_site_fract_y
_atom_site_fract_z
_atom_site_occupancy
Tl1 Tl 0.2112 0.0000 0.1606 1
Sn1 Sn 0.0000 0.2428 0.5000 1
Sn2 Sn 0.0000 0.5000 0.0000 1
F1 F 0.0947 0.0000 0.4430 1
F2 F 0.1033 0.2736 0.8934 1
F3 F 0.1047 0.5000 0.3986 1
# Relative energy among the computed polymorphs   72 meV per atom
# Total magnetization   0.00 μB/f.u.
# DOS at the Fermi energy   0.00 states/eV per cell
# E_form (uncorrected)   -2576 kJ/mol of formula units
# Energy   -116.82 eV for the cell shown